(1)
The following is a PBE-GGA calculation of a relaxed structure of AcAg4Sn, from Alexandria via LeMat-Bulk.

Output
Its total energy is -0.1272 Ha/atom. The value obtained for the energy above the most stable polymorph in this dataset is 0 meV/atom. The space-group type is F-43m (216). Its formation energy is -0.21 eV per atom.

Geometry as POSCAR:
```
AcAg4Sn
1.0
0.000 4.103 4.103
4.103 0.000 4.103
4.103 4.103 0.000
Ac Ag Sn
1 4 1
direct
0.000 0.000 0.000 Ac
0.375 0.375 0.375 Ag
0.375 0.375 0.874 Ag
0.375 0.874 0.375 Ag
0.874 0.375 0.375 Ag
0.750 0.750 0.750 Sn
```

***

(2)
The following is a PBE-GGA calculation of a relaxed structure of AcAg2Sn, from Alexandria via LeMat-Bulk.

Output
Its total energy is -0.1398 Ha/atom. The value obtained for the energy above the most stable polymorph in this dataset is 46 meV/atom. The space-group type is Fm-3m (225). Its formation energy is -0.35 eV per atom.

Geometry as POSCAR:
```
AcAg2Sn
1.0
7.431 0.000 0.000
0.000 7.431 0.000
0.000 0.000 7.431
Ac Ag Sn
4 8 4
direct
0.000 0.000 0.000 Ac
0.000 0.500 0.500 Ac
0.500 0.000 0.500 Ac
0.500 0.500 0.000 Ac
0.250 0.250 0.250 Ag
0.250 0.250 0.750 Ag
0.250 0.750 0.250 Ag
0.250 0.750 0.750 Ag
0.750 0.250 0.250 Ag
0.750 0.250 0.750 Ag
0.750 0.750 0.250 Ag
0.750 0.750 0.750 Ag
0.000 0.000 0.500 Sn
0.000 0.500 0.000 Sn
0.500 0.000 0.000 Sn
0.500 0.500 0.500 Sn
```

***

(3)
The following is a PBE-GGA calculation of a relaxed structure of AcAg4Sn, from Alexandria via LeMat-Bulk.

Output
Its total energy is -0.1253 Ha/atom. The value obtained for the energy above the most stable polymorph in this dataset is 51 meV/atom. The space-group type is Cmcm (63). Its formation energy is -0.16 eV per atom.

Geometry as POSCAR:
```
AcAg4Sn
1.0
2.304 -8.570 0.000
2.304 8.570 0.000
0.000 0.000 7.269
Ac Ag Sn
2 8 2
direct
0.118 0.882 0.750 Ac
0.882 0.118 0.250 Ac
0.069 0.931 0.250 Ag
0.335 0.665 0.562 Ag
0.335 0.665 0.938 Ag
0.500 0.500 0.000 Ag
0.500 0.500 0.500 Ag
0.665 0.335 0.062 Ag
0.665 0.335 0.438 Ag
0.931 0.069 0.750 Ag
0.235 0.765 0.250 Sn
0.765 0.235 0.750 Sn
```

***

(4)
The following is a PBE-GGA calculation of a relaxed structure of AcAg12Sn6, from Alexandria via LeMat-Bulk.

Output
Its total energy is -0.1192 Ha/atom. The space-group type is R-3m (166). Its formation energy is 0.04 eV per atom.

Geometry as POSCAR:
```
AcAg12Sn6
1.0
6.186 3.571 3.316
-6.186 3.571 3.316
0.000 -7.143 3.316
Ac Ag Sn
1 12 6
direct
0.000 0.000 0.000 Ac
0.110 0.500 0.890 Ag
0.110 0.890 0.500 Ag
0.124 0.365 0.365 Ag
0.365 0.124 0.365 Ag
0.365 0.365 0.124 Ag
0.500 0.110 0.890 Ag
0.500 0.890 0.110 Ag
0.635 0.635 0.876 Ag
0.635 0.876 0.635 Ag
0.876 0.635 0.635 Ag
0.890 0.110 0.500 Ag
0.890 0.500 0.110 Ag
0.286 0.286 0.700 Sn
0.286 0.700 0.286 Sn
0.300 0.714 0.714 Sn
0.700 0.286 0.286 Sn
0.714 0.300 0.714 Sn
0.714 0.714 0.300 Sn
```

***

(5)
The following is a PBE-GGA calculation of a relaxed structure of Ac8AgSn2, from Alexandria via LeMat-Bulk.

Output
Its total energy is -0.1560 Ha/atom. The space-group type is C2/m (12). Its formation energy is -0.27 eV per atom.

Geometry as POSCAR:
```
Ac8AgSn2
1.0
10.487 -2.767 0.000
10.487 2.767 0.000
-1.780 0.000 7.376
Ac Ag Sn
8 1 2
direct
0.019 0.019 0.275 Ac
0.212 0.212 0.826 Ac
0.345 0.345 0.508 Ac
0.408 0.408 0.027 Ac
0.592 0.592 0.973 Ac
0.655 0.655 0.492 Ac
0.788 0.788 0.174 Ac
0.981 0.981 0.725 Ac
0.500 0.500 0.500 Ag
0.183 0.183 0.257 Sn
0.817 0.817 0.743 Sn
```

***

(6)
The following is a PBE-GGA calculation of a relaxed structure of Ac2AgSn3, from Alexandria via LeMat-Bulk.

Output
Its total energy is -0.1619 Ha/atom. The value obtained for the energy above the most stable polymorph in this dataset is 18 meV/atom. The space-group type is Pmm2 (25). Its formation energy is -0.56 eV per atom.

Geometry as POSCAR:
```
Ac2AgSn3
1.0
4.563 0.000 0.000
0.000 4.934 0.000
0.000 0.000 8.260
Ac Ag Sn
2 1 3
direct
0.000 0.000 0.000 Ac
0.000 0.500 0.493 Ac
0.500 0.500 0.820 Ag
0.500 0.000 0.332 Sn
0.500 0.000 0.678 Sn
0.500 0.500 0.150 Sn
```

***

(7)
The following is a PBE-GGA calculation of a relaxed structure of Ac2Ag3Sn4, from Alexandria via LeMat-Bulk.

Output
Its total energy is -0.1490 Ha/atom. The space-group type is Cmce (64). Its formation energy is -0.41 eV per atom.

Geometry as POSCAR:
```
Ac2Ag3Sn4
1.0
3.296 -8.372 0.000
3.296 8.372 0.000
0.000 0.000 8.623
Ac Ag Sn
4 6 8
direct
0.113 0.887 0.910 Ac
0.387 0.613 0.410 Ac
0.613 0.387 0.590 Ac
0.887 0.113 0.090 Ac
0.000 0.000 0.500 Ag
0.025 0.475 0.750 Ag
0.475 0.025 0.250 Ag
0.500 0.500 0.000 Ag
0.525 0.975 0.750 Ag
0.975 0.525 0.250 Ag
0.178 0.822 0.521 Sn
0.195 0.305 0.750 Sn
0.305 0.195 0.250 Sn
0.322 0.678 0.021 Sn
0.678 0.322 0.979 Sn
0.695 0.805 0.750 Sn
0.805 0.695 0.250 Sn
0.822 0.178 0.479 Sn
```

***

(8)
The following is a PBE-GGA calculation of a relaxed structure of AcAg6Sn4, from Alexandria via LeMat-Bulk.

Output
Its total energy is -0.1292 Ha/atom. The space-group type is P-6m2 (187). Its formation energy is -0.13 eV per atom.

Geometry as POSCAR:
```
AcAg6Sn4
1.0
7.999 0.000 0.000
-4.000 6.927 0.000
0.000 0.000 4.615
Ac Ag Sn
1 6 4
direct
0.000 0.000 0.000 Ac
0.207 0.414 0.500 Ag
0.207 0.793 0.500 Ag
0.540 0.081 0.000 Ag
0.540 0.460 0.000 Ag
0.586 0.793 0.500 Ag
0.919 0.460 0.000 Ag
0.333 0.667 0.000 Sn
0.389 0.195 0.500 Sn
0.805 0.195 0.500 Sn
0.805 0.611 0.500 Sn
```

***

(9)
The following is a PBE-GGA calculation of a relaxed structure of AcAg4Sn2, from Alexandria via LeMat-Bulk.

Output
Its total energy is -0.1329 Ha/atom. The value obtained for the energy above the most stable polymorph in this dataset is 0 meV/atom. The space-group type is P4_2/mnm (136). Its formation energy is -0.26 eV per atom.

Geometry as POSCAR:
```
AcAg4Sn2
1.0
8.474 0.000 0.000
0.000 8.474 0.000
0.000 0.000 4.614
Ac Ag Sn
2 8 4
direct
0.000 0.000 0.000 Ac
0.500 0.500 0.500 Ac
0.092 0.350 0.500 Ag
0.150 0.592 0.000 Ag
0.350 0.092 0.500 Ag
0.408 0.850 0.000 Ag
0.592 0.150 0.000 Ag
0.650 0.908 0.500 Ag
0.850 0.408 0.000 Ag
0.908 0.650 0.500 Ag
0.215 0.785 0.500 Sn
0.285 0.285 0.000 Sn
0.715 0.715 0.000 Sn
0.785 0.215 0.500 Sn
```

***

(10)
The following is a PBE-GGA calculation of a relaxed structure of Ac2AgSn3, from Alexandria via LeMat-Bulk.

Output
Its total energy is -0.1626 Ha/atom. The value obtained for the energy above the most stable polymorph in this dataset is 0 meV/atom. The space-group type is Fmmm (69). Its formation energy is -0.58 eV per atom.

Geometry as POSCAR:
```
Ac2AgSn3
1.0
0.000 4.849 8.348
4.575 0.000 8.348
4.575 4.849 0.000
Ac Ag Sn
4 2 6
direct
0.242 0.758 0.758 Ac
0.250 0.250 0.250 Ac
0.750 0.750 0.750 Ac
0.758 0.242 0.242 Ac
0.333 0.333 0.667 Ag
0.667 0.667 0.333 Ag
0.170 0.170 0.830 Sn
0.175 0.654 0.346 Sn
0.346 0.825 0.175 Sn
0.654 0.175 0.825 Sn
0.825 0.346 0.654 Sn
0.830 0.830 0.170 Sn
```

***

(11)
The following is a PBE-GGA calculation of a relaxed structure of AcAgSn, from Alexandria via LeMat-Bulk.

Output
Its total energy is -0.1548 Ha/atom. The value obtained for the energy above the most stable polymorph in this dataset is 47 meV/atom. The space-group type is P-6m2 (187). Its formation energy is -0.56 eV per atom.

Geometry as POSCAR:
```
AcAgSn
1.0
4.879 0.000 0.000
-2.439 4.225 0.000
0.000 0.000 4.282
Ac Ag Sn
1 1 1
direct
0.000 0.000 0.000 Ac
0.333 0.667 0.500 Ag
0.667 0.333 0.500 Sn
```

***

(12)
The following is a PBE-GGA calculation of a relaxed structure of Ac2Ag5Sn, from Alexandria via LeMat-Bulk.

Output
Its total energy is -0.1335 Ha/atom. The space-group type is Cmcm (63). Its formation energy is -0.32 eV per atom.

Geometry as POSCAR:
```
Ac2Ag5Sn
1.0
2.414 -8.720 0.000
2.414 8.720 0.000
0.000 0.000 9.874
Ac Ag Sn
4 10 2
direct
0.000 0.000 0.000 Ac
0.000 0.000 0.500 Ac
0.206 0.794 0.750 Ac
0.794 0.206 0.250 Ac
0.182 0.818 0.109 Ag
0.182 0.818 0.391 Ag
0.346 0.654 0.022 Ag
0.346 0.654 0.478 Ag
0.398 0.602 0.750 Ag
0.602 0.398 0.250 Ag
0.654 0.346 0.522 Ag
0.654 0.346 0.978 Ag
0.818 0.182 0.609 Ag
0.818 0.182 0.891 Ag
0.443 0.557 0.250 Sn
0.557 0.443 0.750 Sn
```

***

The calculation returns the following V values, one per record and in order: 138; 410; 287; 440; 428; 186; 476; 256; 331; 370; 88; 416 Å³ per cell.